Entry 1:
An optimized crystal structure of NaHfTa2, computed with PBE.

POSCAR file:
```
NaHfTa2
1.0
-3.936 0.655 -0.653
-0.900 -3.371 2.044
-2.959 4.057 9.390
Na Ta Hf
2 4 2
Direct
0.500 0.500 0.000 Na
0.250 0.750 0.500 Na
0.875 0.361 0.750 Ta
0.111 0.125 0.250 Ta
0.375 0.889 0.750 Ta
0.639 0.625 0.250 Ta
0.750 0.250 0.500 Hf
0.000 0.000 0.000 Hf
```

Values from the calculation:
SG	I-42d, No. 122
D(E_F)	7.687	states/eV/cell
magnetization	0.00	μB/cell
V	168	Å³ per cell
crystal system	tetragonal
total energy	-7.679	eV/atom
ΔE to the lowest computed polymorph	130	meV per atom
energy of formation	1.065	eV per atom

Entry 2:
An optimized crystal structure of CdP2Au, computed with PBE.

POSCAR file:
```
CdP2Au
1.0
-0.453 -0.550 -4.634
2.442 -3.333 -2.215
-2.198 -3.772 -1.709
Au Cd P
1 1 2
Direct
0.500 0.500 0.500 Au
0.250 0.250 0.250 Cd
0.750 0.750 0.750 P
0.000 0.000 0.000 P
```

Values from the calculation:
SG	F-43m, No. 216
D(E_F)	1.253	states/eV/cell
magnetization	0.00	μB/cell
V	73	Å³ per cell
crystal system	cubic
total energy	-3.206	eV/atom
energy of formation	0.547	eV per atom

Entry 3:
An optimized crystal structure of K3YSc2S6, computed with PBE.

POSCAR file:
```
K3YSc2S6
1.0
6.781 -0.001 -0.001
-3.390 5.873 -0.001
-1.132 -1.959 7.323
S K Sc Y
6 3 2 1
Direct
0.411 0.065 0.195 S
0.935 0.589 0.805 S
0.281 0.281 0.805 S
0.065 0.411 0.195 S
0.719 0.719 0.195 S
0.589 0.935 0.805 S
0.835 0.165 0.500 K
0.500 0.500 0.500 K
0.165 0.835 0.500 K
0.667 0.333 0.000 Sc
0.333 0.667 0.000 Sc
0.000 0.000 0.000 Y
```

Values from the calculation:
uncorrected formation energy	-1796	meV per atom
SG	C2/m, No. 12
D(E_F)	0.000	states/eV/cell
magnetization	0.00	μB/cell
V	292	Å³ per cell
crystal system	monoclinic
total energy	-5.728	eV/atom

Entry 4:
An optimized crystal structure of LiLaThIn, computed with PBE.

POSCAR file:
```
LiLaThIn
1.0
-0.494 -2.614 -4.762
1.870 -5.098 -0.520
-3.503 -4.154 -0.480
In Li Th La
1 1 1 1
Direct
0.500 0.500 0.500 In
0.000 0.000 0.000 Li
0.750 0.750 0.750 Th
0.250 0.250 0.250 La
```

Values from the calculation:
SG	F-43m, No. 216
D(E_F)	3.781	states/eV/cell
magnetization	0.00	μB/cell
V	115	Å³ per cell
crystal system	cubic
total energy	-4.369	eV/atom
energy of formation	-0.119	eV per atom

Which formula does entry 4 have? LiLaThIn

What is the formula in the fourth record? LiLaThIn